No. 1
DFT (GGA-PBE) results for LaTmAu after structural relaxation.

Properties
The energy above the lowest structure with this stoichiometry is 170 meV/atom. The formation energy is -0.439 eV/atom. As for the total moment: 0.000 μB/atom. As for the symmetry: P3m1 (156). For the calculated total energy, the calculation gives -13.99 eV for the cell shown.

Lattice parameters (Å, degrees): 4.938 4.938 4.064 90.00 90.00 120.00
Atoms (fractional coordinates):
La  0.000  0.000  0.000
Tm  0.333  0.667  0.496
Au  0.667  0.333  0.541

=====

No. 2
DFT (GGA-PBE) results for HfSeBr after structural relaxation.

Properties
As for the total moment: 0.000 μB/atom. As for the symmetry: P2_1/m (11). The calculation puts the uncorrected formation energy at -1301 meV/atom. For the calculated total energy, the calculation gives -38.03 eV for the cell shown.

Lattice parameters (Å, degrees): 3.705 5.247 9.055 90.00 101.33 90.00
Atoms (fractional coordinates):
Hf  0.206  0.250  0.408
Hf  0.794  0.750  0.592
Se  0.187  0.750  0.369
Se  0.813  0.250  0.631
Br  0.402  0.750  0.817
Br  0.598  0.250  0.183

=====

No. 3
DFT (GGA-PBE) results for Cs3RbBr after structural relaxation.

Properties
The energy above the lowest structure with this stoichiometry is 526 meV/atom. As for the total moment: 0.002 μB/atom. As for the symmetry: Pm-3m (221). The calculation puts the uncorrected formation energy at -156 meV/atom. For the calculated total energy, the calculation gives -5.98 eV for the cell shown.

Lattice parameters (Å, degrees): 8.572 8.572 8.572 90.00 90.00 90.00
Atoms (fractional coordinates):
Cs  0.000  0.000  0.500
Cs  0.000  0.500  0.000
Cs  0.500  0.000  0.000
Rb  0.000  0.000  0.000
Br  0.500  0.500  0.500

=====

No. 4
DFT (GGA-PBE) results for Nd3Zn2Au after structural relaxation.

Properties
The energy above the lowest structure with this stoichiometry is 0 meV/atom. The formation energy is -0.466 eV/atom. As for the total moment: 0.000 μB/atom. As for the symmetry: P4/mmm (123). For the calculated total energy, the calculation gives -22.93 eV for the cell shown.

Lattice parameters (Å, degrees): 3.716 3.716 10.958 90.00 90.00 90.00
Atoms (fractional coordinates):
Nd  0.000  0.000  0.000
Nd  0.000  0.000  0.331
Nd  0.000  0.000  0.669
Zn  0.500  0.500  0.160
Zn  0.500  0.500  0.840
Au  0.500  0.500  0.500

=====

No. 5
DFT (GGA-PBE) results for Nd2YHf after structural relaxation.

Properties
The energy above the lowest structure with this stoichiometry is 0 meV/atom. The formation energy is 0.170 eV/atom. As for the total moment: 0.000 μB/atom. As for the symmetry: R3m (160). For the calculated total energy, the calculation gives -25.27 eV for the cell shown.

Lattice parameters (Å, degrees): 11.649 11.649 11.649 17.26 17.26 17.26
Atoms (fractional coordinates):
Nd  0.000  0.000  0.000
Nd  0.178  0.178  0.178
Y  0.421  0.421  0.421
Hf  0.589  0.589  0.589

=====

No. 6
DFT (GGA-PBE) results for HfNpCu after structural relaxation.

Properties
The formation energy is 0.606 eV/atom. As for the total moment: 1.704 μB/atom. As for the symmetry: Fddd (70). For the calculated total energy, the calculation gives -100.69 eV for the cell shown.

Lattice parameters (Å, degrees): 8.229 7.128 7.062 70.88 54.93 54.18
Atoms (fractional coordinates):
Hf  0.007  0.743  0.007
Hf  0.257  0.993  0.257
Hf  0.743  0.007  0.743
Hf  0.993  0.257  0.993
Np  0.000  0.500  0.500
Np  0.500  0.000  0.500
Np  0.500  0.500  0.000
Np  0.500  0.500  0.500
Cu  0.053  0.053  0.697
Cu  0.303  0.303  0.947
Cu  0.697  0.697  0.053
Cu  0.947  0.947  0.303

=====

No. 7
DFT (GGA-PBE) results for SbMo2Ir after structural relaxation.

Properties
As for the total moment: 0.000 μB/atom. As for the symmetry: R-3m (166). The calculation puts the uncorrected formation energy at 313 meV/atom. For the calculated total energy, the calculation gives -33.40 eV for the cell shown.

Lattice parameters (Å, degrees): 9.214 9.214 9.214 18.32 18.32 18.32
Atoms (fractional coordinates):
Sb  0.000  0.000  0.000
Mo  0.247  0.247  0.247
Mo  0.753  0.753  0.753
Ir  0.500  0.500  0.500

=====

No. 8
DFT (GGA-PBE) results for CaNdRhAu after structural relaxation.

Properties
The energy above the lowest structure with this stoichiometry is 51 meV/atom. The formation energy is -0.647 eV/atom. As for the total moment: 0.000 μB/atom. As for the symmetry: F-43m (216). For the calculated total energy, the calculation gives -19.99 eV for the cell shown.

Lattice parameters (Å, degrees): 5.062 5.062 5.062 60.00 60.00 60.00
Atoms (fractional coordinates):
Ca  0.000  0.000  0.000
Nd  0.500  0.500  0.500
Rh  0.250  0.250  0.250
Au  0.750  0.750  0.750

=====

No. 9
DFT (GGA-PBE) results for Co2HgRu after structural relaxation.

Properties
The formation energy is 0.802 eV/atom. As for the total moment: 0.998 μB/atom. As for the symmetry: I-42d (122). For the calculated total energy, the calculation gives -41.16 eV for the cell shown.

Lattice parameters (Å, degrees): 5.541 5.541 5.541 103.75 103.75 121.64
Atoms (fractional coordinates):
Co  0.087  0.625  0.962
Co  0.375  0.337  0.462
Co  0.663  0.125  0.038
Co  0.875  0.913  0.538
Hg  0.250  0.750  0.500
Hg  0.500  0.500  0.000
Ru  0.000  0.000  0.000
Ru  0.750  0.250  0.500

=====

No. 10
DFT (GGA-PBE) results for K2MgBeSb2 after structural relaxation.

Properties
As for the total moment: 0.000 μB/atom. As for the symmetry: Ibam (72). The calculation puts the uncorrected formation energy at -355 meV/atom. For the calculated total energy, the calculation gives -35.79 eV for the cell shown.

Lattice parameters (Å, degrees): 9.406 9.406 9.406 139.30 59.07 139.10
Atoms (fractional coordinates):
K  0.174  0.238  0.412
K  0.326  0.738  0.065
K  0.674  0.262  0.935
K  0.826  0.762  0.588
Mg  0.250  0.250  0.000
Mg  0.750  0.750  0.000
Be  0.250  0.750  0.500
Be  0.750  0.250  0.500
Sb  0.092  0.717  0.809
Sb  0.408  0.217  0.624
Sb  0.592  0.783  0.376
Sb  0.908  0.283  0.191

=====

No. 11
DFT (GGA-PBE) results for B2H8I after structural relaxation.

Properties
The energy above the lowest structure with this stoichiometry is 43 meV/atom. As for the total moment: 0.000 μB/atom. As for the symmetry: C2/m (12). For the calculated total energy, the calculation gives -38.86 eV for the cell shown.

Lattice parameters (Å, degrees): 4.669 4.669 5.890 93.11 93.11 82.83
Atoms (fractional coordinates):
B  0.223  0.223  0.273
B  0.777  0.777  0.727
H  0.061  0.061  0.186
H  0.136  0.473  0.199
H  0.260  0.260  0.476
H  0.473  0.136  0.199
H  0.527  0.864  0.801
H  0.740  0.740  0.524
H  0.864  0.527  0.801
H  0.939  0.939  0.814
I  0.500  0.500  0.000

=====

No. 12
DFT (GGA-PBE) results for Ce2Te4Pd after structural relaxation.

Properties
As for the total moment: 0.173 μB/atom. As for the symmetry: Cmmm (65). The calculation puts the uncorrected formation energy at -918 meV/atom. For the calculated total energy, the calculation gives -36.05 eV for the cell shown.

Lattice parameters (Å, degrees): 6.437 6.437 4.965 90.00 90.00 103.65
Atoms (fractional coordinates):
Ce  0.247  0.753  0.000
Ce  0.753  0.247  0.000
Te  0.000  0.500  0.500
Te  0.268  0.268  0.000
Te  0.500  0.000  0.500
Te  0.732  0.732  0.000
Pd  0.500  0.500  0.500

=====

No. 13
DFT (GGA-PBE) results for Si4IrPb after structural relaxation.

Properties
As for the total moment: 0.000 μB/atom. As for the symmetry: F-43m (216). The calculation puts the uncorrected formation energy at 720 meV/atom. For the calculated total energy, the calculation gives -29.94 eV for the cell shown.

Lattice parameters (Å, degrees): 5.270 5.270 5.270 60.00 60.00 60.00
Atoms (fractional coordinates):
Si  0.376  0.376  0.376
Si  0.376  0.376  0.873
Si  0.376  0.873  0.376
Si  0.873  0.376  0.376
Ir  0.750  0.750  0.750
Pb  0.000  0.000  0.000